Entry 1:
ZnReSi2 | the Alexandria database | PBE | relaxed; formation energy from raw total energies = 0.05 eV/atom; total DFT energy (no corrections) = -6.087 eV per atom
1.0
3.279 0.000 0.000
0.000 3.279 0.000
0.000 0.000 5.119
Zn Re Si
1 1 2
direct
0.000 0.000 0.000
0.500 0.500 0.296
0.000 0.000 0.511
0.500 0.500 0.783

***

Entry 2:
DyYEr4S8 | the Alexandria database | PBE | relaxed; formation energy from raw total energies = -1.93 eV/atom; total DFT energy (no corrections) = -6.382 eV per atom
1.0
3.996 2.307 6.542
-3.996 2.307 6.542
0.000 -4.615 6.542
Dy Y Er S
1 1 4 8
direct
0.000 0.000 0.000
0.375 0.375 0.375
0.375 0.375 0.874
0.375 0.874 0.375
0.749 0.749 0.749
0.874 0.375 0.375
0.131 0.131 0.601
0.131 0.601 0.131
0.133 0.133 0.133
0.145 0.619 0.619
0.601 0.131 0.131
0.617 0.617 0.617
0.619 0.145 0.619
0.619 0.619 0.145

***

Entry 3:
TbPm6Sm2Ho | the Alexandria database | PBE | relaxed; formation energy from the elements = 0.12 eV per atom; total DFT energy (no corrections) = -4.600 eV per atom
1.0
4.597 -7.670 0.000
4.597 7.670 0.000
-1.367 0.000 9.649
Tb Pm Sm Ho
2 12 4 2
direct
0.023 0.977 0.750
0.977 0.023 0.250
0.016 0.571 0.688
0.122 0.755 0.055
0.245 0.878 0.445
0.291 0.504 0.881
0.429 0.984 0.812
0.496 0.709 0.619
0.504 0.291 0.381
0.571 0.016 0.188
0.709 0.496 0.119
0.755 0.122 0.555
0.878 0.245 0.945
0.984 0.429 0.312
0.197 0.299 0.543
0.299 0.197 0.043
0.701 0.803 0.957
0.803 0.701 0.457
0.409 0.591 0.250
0.591 0.409 0.750

***

Entry 4:
Mn2Ag2Au7 | the Alexandria database | PBE | relaxed; formation energy from the elements = 0.04 eV per atom; total DFT energy (no corrections) = -4.232 eV per atom
1.0
-1.465 7.222 4.789
1.465 -7.222 4.789
1.465 7.222 -4.789
Mn Ag Au
2 2 7
direct
0.168 0.000 0.168
0.832 0.000 0.832
0.166 0.166 0.000
0.443 0.943 0.500
0.074 0.739 0.335
0.334 0.502 0.832
0.404 0.739 0.665
0.602 0.260 0.343
0.670 0.502 0.168
0.864 0.864 0.000
0.917 0.260 0.657

***

Entry 5:
TbSm4N4 | the Alexandria database | PBE | relaxed; formation energy from raw total energies = -1.34 eV/atom; total DFT energy (no corrections) = -7.651 eV per atom
1.0
-4.008 4.008 2.539
4.008 -4.008 2.539
4.008 4.008 -2.539
Tb Sm N
1 4 4
direct
0.000 0.000 0.000
0.188 0.610 0.798
0.390 0.188 0.578
0.610 0.812 0.422
0.812 0.390 0.202
0.096 0.293 0.389
0.293 0.904 0.198
0.707 0.096 0.802
0.904 0.707 0.611

***

Entry 6:
CsBaZr2Mn | the Alexandria database | PBE | relaxed; formation energy from the elements = 0.76 eV per atom; total DFT energy (no corrections) = -5.047 eV per atom
1.0
4.955 0.000 0.000
0.000 4.955 0.000
0.000 0.000 6.696
Cs Ba Zr Mn
1 1 2 1
direct
0.000 0.000 0.000
0.500 0.500 0.000
0.000 0.500 0.500
0.500 0.000 0.500
0.500 0.500 0.500

***

Entry 7:
NpZn3Au9 | the Alexandria database | PBE | relaxed; formation energy from the elements = -0.16 eV per atom; total DFT energy (no corrections) = -3.721 eV per atom
1.0
2.693 -6.706 0.000
2.693 6.706 0.000
-2.308 0.000 6.650
Np Zn Au
1 3 9
direct
0.000 0.000 0.000
0.000 0.500 0.000
0.500 0.000 0.000
0.500 0.500 0.500
0.000 0.000 0.500
0.034 0.681 0.669
0.310 0.526 0.788
0.319 0.966 0.331
0.474 0.690 0.212
0.526 0.310 0.788
0.681 0.034 0.669
0.690 0.474 0.212
0.966 0.319 0.331

***

Entry 8:
AcTbHoTm | the Alexandria database | PBE | relaxed; formation energy from the elements = 0.07 eV per atom; energy relative to the lowest polymorph listed for this composition = 0 meV per atom; total DFT energy (no corrections) = -4.375 eV per atom
1.0
1.833 1.058 11.756
-1.833 1.058 11.756
0.000 -2.117 11.756
Ac Tb Ho Tm
1 1 1 1
direct
0.000 0.000 0.000
0.245 0.245 0.245
0.421 0.421 0.421
0.833 0.833 0.833

***

Please write out number 6 again, unchanged.
CsBaZr2Mn | the Alexandria database | PBE | relaxed; formation energy from the elements = 0.76 eV per atom; total DFT energy (no corrections) = -5.047 eV per atom
1.0
4.955 0.000 0.000
0.000 4.955 0.000
0.000 0.000 6.696
Cs Ba Zr Mn
1 1 2 1
direct
0.000 0.000 0.000
0.500 0.500 0.000
0.000 0.500 0.500
0.500 0.000 0.500
0.500 0.500 0.500

***

The lowest total DFT energy (no corrections) belongs to which entry?
TbSm4N4